VASP calculation (meta-GGA SCAN) on a crystal of CdAu relaxed with PBEsol.

Cell: 6.1568 6.1568 6.1568 Å, 90.00 90.00 90.00°
Last column: nearest neighbours and their distance in Å.
Space group F-43m (No. 216)
Unique sites:
Cd 0.0000 0.0000 0.0000 x4  4 Au 2.67
Au 0.2500 0.2500 0.7500 x4  4 Cd 2.67

Output
The formation enthalpy at 0 K comes out at 0.221 eV/atom. For the density of states at the Fermi level, the calculation gives 0.63 states/eV/f.u.